Arrangement P

An optimized crystal structure of YCoGeOs, computed with PBE.

Geometry as POSCAR:
```
YCoGeOs
1.0
0.0000 3.1781 3.1781
3.1781 0.0000 3.1781
3.1781 3.1781 0.0000
Y Co Ge Os
1 1 1 1
Direct
0.0000 0.0000 0.0000
0.7500 0.7500 0.7500
0.5000 0.5000 0.5000
0.2500 0.2500 0.2500
```

Summary:
Calculated density = 10.62 g cm⁻³


Arrangement Q

An optimized crystal structure of YCoGeOs, computed with PBE.

Geometry as POSCAR:
```
YCoGeOs
1.0
0.0000 3.2528 3.2528
3.2528 0.0000 3.2528
3.2528 3.2528 0.0000
Y Co Ge Os
1 1 1 1
Direct
0.0000 0.0000 0.0000
0.5000 0.5000 0.5000
0.2500 0.2500 0.2500
0.7500 0.7500 0.7500
```

Summary:
Calculated density = 9.91 g cm⁻³


Most stable to least stable, the ends of the list are arrangement P and arrangement Q.


Arrangement P

An optimized crystal structure of ZrCoGeOs, computed with PBE.

Geometry as POSCAR:
```
ZrCoGeOs
1.0
0.0000 3.1169 3.1169
3.1169 0.0000 3.1169
3.1169 3.1169 0.0000
Zr Co Ge Os
1 1 1 1
Direct
0.0000 0.0000 0.0000
0.7500 0.7500 0.7500
0.5000 0.5000 0.5000
0.2500 0.2500 0.2500
```

Summary:
Calculated density = 11.32 g cm⁻³


Arrangement Q

An optimized crystal structure of ZrCoGeOs, computed with PBE.

Geometry as POSCAR:
```
ZrCoGeOs
1.0
0.0000 3.1661 3.1661
3.1661 0.0000 3.1661
3.1661 3.1661 0.0000
Zr Co Ge Os
1 1 1 1
Direct
0.0000 0.0000 0.0000
0.5000 0.5000 0.5000
0.2500 0.2500 0.2500
0.7500 0.7500 0.7500
```

Summary:
Calculated density = 10.80 g cm⁻³


Most stable to least stable, the ends of the list are arrangement P and arrangement Q.


Arrangement P

An optimized crystal structure of TaCoGePd, computed with PBE.

Geometry as POSCAR:
```
TaCoGePd
1.0
0.0000 3.0890 3.0890
3.0890 0.0000 3.0890
3.0890 3.0890 0.0000
Ta Co Ge Pd
1 1 1 1
Direct
0.0000 0.0000 0.0000
0.5000 0.5000 0.5000
0.2500 0.2500 0.2500
0.7500 0.7500 0.7500
```

Summary:
Calculated density = 11.80 g cm⁻³


Arrangement Q

An optimized crystal structure of TaCoGePd, computed with PBE.

Geometry as POSCAR:
```
TaCoGePd
1.0
0.0000 3.0834 3.0834
3.0834 0.0000 3.0834
3.0834 3.0834 0.0000
Ta Co Ge Pd
1 1 1 1
Direct
0.0000 0.0000 0.0000
0.7500 0.7500 0.7500
0.5000 0.5000 0.5000
0.2500 0.2500 0.2500
```

Summary:
Calculated density = 11.87 g cm⁻³


Most stable to least stable, the ends of the list are arrangement Q and arrangement P.